Below is crystalline K4AuIO at its relaxed geometry, with properties calculated at the PBE-GGA level.

```
14
Lattice="-0.3020 -7.3350 1.6709 5.1580 1.0135 5.3816 -6.1810 5.2431 4.9367" Properties=species:S:1:pos:R:3 pbc="T T T"
K -0.5115 3.1283 5.1592
K -3.9489 -2.1482 6.8185
K -0.6625 -0.5392 5.9946
K -1.1613 2.0117 8.6213
K -3.2415 -1.0460 3.3038
K -0.1637 -3.0901 3.3679
K 2.6239 1.0699 5.1708
K -3.0905 2.6216 2.4684
O 0.7257 1.5422 6.9012
O -2.0507 -2.6206 5.0881
Au -0.0664 0.5908 2.5814
Au -1.2586 -1.6692 9.4078
I 2.4349 -2.5882 6.0409
I -3.7599 1.5098 5.9484
```

Its formation energy from raw total energies is -0.975 eV/atom. As for the raw total energy: -3.00 eV per atom.